# GGA-PBE Hf2AlO, relaxed
data_Hf2AlO
_chemical_formula_sum 'Hf2 Al1 O1'
_cell_length_a 4.561
_cell_length_b 4.561
_cell_length_c 4.561
_cell_angle_alpha 60.00
_cell_angle_beta 60.00
_cell_angle_gamma 60.00
_space_group_name_H-M_alt 'P 1'
_space_group_IT_number 1
loop_
_space_group_symop_operation_xyz
'x,y,z'
loop_
_atom_site_label
_atom_site_type_symbol
_atom_site_fract_x
_atom_site_fract_y
_atom_site_fract_z
O1 O 0.000 0.000 0.000
Al1 Al 0.500 0.500 0.500
Hf1 Hf 0.750 0.750 0.750
Hf2 Hf 0.250 0.250 0.250
# Excess energy over the best structure of this formula in the dataset in meV/atom: 629
# D(E_F) in states/eV per atom: 1.145
# ΔE_f (raw) in kJ/mol of atoms: -21.7
# VASP energy in eV/atom: -7.376
# Space group: Fm-3m (225)

# GGA-PBE HfAl2O2, relaxed
data_HfAl2O2
_chemical_formula_sum 'Hf1 Al2 O2'
_cell_length_a 3.365
_cell_length_b 3.365
_cell_length_c 6.807
_cell_angle_alpha 75.69
_cell_angle_beta 75.69
_cell_angle_gamma 90.00
_space_group_name_H-M_alt 'P 1'
_space_group_IT_number 1
loop_
_space_group_symop_operation_xyz
'x,y,z'
loop_
_atom_site_label
_atom_site_type_symbol
_atom_site_fract_x
_atom_site_fract_y
_atom_site_fract_z
O1 O 0.750 0.250 0.500
Hf1 Hf 0.000 0.000 0.000
O2 O 0.250 0.750 0.500
Al1 Al 0.680 0.680 0.641
Al2 Al 0.320 0.320 0.359
# Excess energy over the best structure of this formula in the dataset in meV/atom: 0
# D(E_F) in states/eV per atom: 0.263
# ΔE_f (raw) in kJ/mol of atoms: -139.8
# VASP energy in eV/atom: -6.920
# Space group: I4/mmm (139)

# GGA-PBE HfAl2O, relaxed
data_HfAl2O
_chemical_formula_sum 'Hf2 Al4 O2'
_cell_length_a 5.872
_cell_length_b 5.872
_cell_length_c 5.710
_cell_angle_alpha 59.06
_cell_angle_beta 59.06
_cell_angle_gamma 90.00
_space_group_name_H-M_alt 'P 1'
_space_group_IT_number 1
loop_
_space_group_symop_operation_xyz
'x,y,z'
loop_
_atom_site_label
_atom_site_type_symbol
_atom_site_fract_x
_atom_site_fract_y
_atom_site_fract_z
O1 O 0.250 0.750 0.500
Al1 Al 0.263 0.625 0.250
Al2 Al 0.875 0.737 0.750
Hf1 Hf 0.000 0.000 0.000
Hf2 Hf 0.750 0.250 0.500
Al3 Al 0.487 0.125 0.250
O2 O 0.500 0.500 0.000
Al4 Al 0.375 0.513 0.750
# D(E_F) in states/eV per atom: 0.908
# ΔE_f (raw) in kJ/mol of atoms: -69.9
# VASP energy in eV/atom: -6.323
# Space group: I-42d (122)

# GGA-PBE HfAl3O, relaxed
data_HfAl3O
_chemical_formula_sum 'Hf1 Al3 O1'
_cell_length_a 5.335
_cell_length_b 5.335
_cell_length_c 5.335
_cell_angle_alpha 90.00
_cell_angle_beta 90.00
_cell_angle_gamma 90.00
_space_group_name_H-M_alt 'P 1'
_space_group_IT_number 1
loop_
_space_group_symop_operation_xyz
'x,y,z'
loop_
_atom_site_label
_atom_site_type_symbol
_atom_site_fract_x
_atom_site_fract_y
_atom_site_fract_z
Al1 Al 0.000 0.000 0.500
O1 O 0.500 0.500 0.500
Al2 Al 0.000 0.500 0.000
Hf1 Hf 0.000 0.000 0.000
Al3 Al 0.500 0.000 0.000
# Excess energy over the best structure of this formula in the dataset in meV/atom: 2133
# D(E_F) in states/eV per atom: 2.224
# ΔE_f (raw) in kJ/mol of atoms: 144.2
# VASP energy in eV/atom: -3.733
# Space group: Pm-3m (221)

# GGA-PBE Hf4AlO, relaxed
data_Hf4AlO
_chemical_formula_sum 'Hf8 Al2 O2'
_cell_length_a 5.450
_cell_length_b 6.579
_cell_length_c 7.415
_cell_angle_alpha 109.70
_cell_angle_beta 103.83
_cell_angle_gamma 106.84
_space_group_name_H-M_alt 'P 1'
_space_group_IT_number 1
loop_
_space_group_symop_operation_xyz
'x,y,z'
loop_
_atom_site_label
_atom_site_type_symbol
_atom_site_fract_x
_atom_site_fract_y
_atom_site_fract_z
Hf1 Hf 0.031 0.833 0.117
O1 O 0.808 0.058 0.116
Al1 Al 0.355 0.605 0.211
Al2 Al 0.645 0.395 0.789
Hf2 Hf 0.414 0.716 0.883
O2 O 0.192 0.942 0.884
Hf3 Hf 0.707 0.074 0.419
Hf4 Hf 0.788 0.654 0.581
Hf5 Hf 0.212 0.346 0.419
Hf6 Hf 0.293 0.926 0.581
Hf7 Hf 0.586 0.284 0.117
Hf8 Hf 0.969 0.167 0.883
# D(E_F) in states/eV per atom: 0.562
# ΔE_f (raw) in kJ/mol of atoms: -75.2
# VASP energy in eV/atom: -8.865
# Space group: C2/c (15)

# GGA-PBE HfAlP2O, relaxed
data_HfAlP2O
_chemical_formula_sum 'Hf1 Al1 P2 O1'
_cell_length_a 5.122
_cell_length_b 5.122
_cell_length_c 3.918
_cell_angle_alpha 90.00
_cell_angle_beta 90.00
_cell_angle_gamma 90.00
_space_group_name_H-M_alt 'P 1'
_space_group_IT_number 1
loop_
_space_group_symop_operation_xyz
'x,y,z'
loop_
_atom_site_label
_atom_site_type_symbol
_atom_site_fract_x
_atom_site_fract_y
_atom_site_fract_z
O1 O 0.000 0.000 0.500
P1 P 0.000 0.500 0.000
Hf1 Hf 0.000 0.000 0.000
Al1 Al 0.500 0.500 0.500
P2 P 0.500 0.000 0.000
# Excess energy over the best structure of this formula in the dataset in meV/atom: 98
# D(E_F) in states/eV per atom: 1.092
# ΔE_f (raw) in kJ/mol of atoms: -45.5
# VASP energy in eV/atom: -6.366
# Space group: P4/mmm (123)